First-principles (PBE-GGA) data for an optimized crystal structure of TaCu3Ni, as listed in the Alexandria database.

Cell lengths 4.7109, 4.7109, 4.7109 Å; angles 90.00, 90.00, 90.00 degrees
Closest atoms and distances in Å follow each position.
Element x y z (fractional)
Ta (0.0000, 0.0000, 0.0000)  6 Cu 2.36
Cu (0.0000, 0.0000, 0.5000)  2 Ta 2.36
Cu (0.0000, 0.5000, 0.0000)  2 Ta 2.36
Cu (0.5000, 0.0000, 0.0000)  2 Ta 2.36
Ni (0.5000, 0.5000, 0.5000)  12 Cu 3.33

Values from the calculation:
The calculation puts the calculated formation energy at 1.83 eV/atom. As for the total energy: -4.16 eV per atom. The density of states at the Fermi level is 8.2 states/eV/cell. The value obtained for the polymorph energy (0 for the lowest one) is 3.95 eV/f.u.

First-principles (PBE-GGA) data for an optimized crystal structure of TaCu2Ni5, as listed in the Alexandria database.

Cell lengths 7.5448, 7.5448, 7.5448 Å; angles 151.89, 151.89, 40.17 degrees
Closest atoms and distances in Å follow each position.
Element x y z (fractional)
Ta (0.0000, 0.0000, 0.0000)  12 Ni 2.56-2.59
Cu (0.2522, 0.2522, 0.0000)  8 Ni 2.51-2.55, 4 Cu 2.59
Cu (0.7478, 0.7478, 0.0000)  8 Ni 2.51-2.55, 4 Cu 2.59
Ni (0.1266, 0.6266, 0.5000)  4 Cu 2.51-2.55, 2 Ta 2.56, 6 Ni 2.56-2.59
Ni (0.3734, 0.8734, 0.5000)  4 Cu 2.51-2.55, 2 Ta 2.56, 6 Ni 2.56-2.59
Ni (0.5000, 0.5000, 0.0000)  8 Ni 2.56, 4 Ta 2.59
Ni (0.6266, 0.1266, 0.5000)  4 Cu 2.51-2.55, 2 Ta 2.56, 6 Ni 2.56-2.59
Ni (0.8734, 0.3734, 0.5000)  4 Cu 2.51-2.55, 2 Ta 2.56, 6 Ni 2.56-2.59

Values from the calculation:
The calculation puts the calculated formation energy at -0.18 eV/atom. As for the total energy: -6.30 eV per atom. The density of states at the Fermi level is 4.9 states/eV/cell.

First-principles (PBE-GGA) data for an optimized crystal structure of TaCu2Ni, as listed in the Alexandria database.

Cell lengths 3.5857, 3.5857, 4.1978 Å; angles 90.00, 90.00, 90.00 degrees
Closest atoms and distances in Å follow each position.
Element x y z (fractional)
Ta (0.0000, 0.0000, 0.0000)  4 Ni 2.54, 8 Cu 2.76
Cu (0.0000, 0.5000, 0.5000)  4 Cu 2.54, 4 Ta 2.76, 4 Ni 2.76
Cu (0.5000, 0.0000, 0.5000)  4 Cu 2.54, 4 Ta 2.76, 4 Ni 2.76
Ni (0.5000, 0.5000, 0.0000)  4 Ta 2.54, 8 Cu 2.76

Values from the calculation:
The calculation puts the calculated formation energy at 0.19 eV/atom. As for the total energy: -6.27 eV per atom. The density of states at the Fermi level is 6.3 states/eV/cell.

First-principles (PBE-GGA) data for an optimized crystal structure of TaCu3Ni, as listed in the Alexandria database.

Cell lengths 4.2629, 4.2629, 4.2629 Å; angles 90.00, 90.00, 90.00 degrees
Closest atoms and distances in Å follow each position.
Element x y z (fractional)
Ta (0.0000, 0.0000, 0.0000)  12 Cu 3.01
Cu (0.0000, 0.5000, 0.5000)  2 Ni 2.13
Cu (0.5000, 0.0000, 0.5000)  2 Ni 2.13
Cu (0.5000, 0.5000, 0.0000)  2 Ni 2.13
Ni (0.5000, 0.5000, 0.5000)  6 Cu 2.13

Values from the calculation:
The calculation puts the calculated formation energy at 1.04 eV/atom. As for the total energy: -4.95 eV per atom. The density of states at the Fermi level is 5.5 states/eV/cell. The value obtained for the polymorph energy (0 for the lowest one) is 0.00 eV/f.u.